Entry 1:
# KBeCr (GGA-PBE, optimized geometry)
# * crystal system: cubic
# * D(E_F): 1.7 states/eV/f.u.
data_KBeCr
_chemical_formula_sum 'K1 Be1 Cr1'
_cell_length_a 4.875
_cell_length_b 4.875
_cell_length_c 4.875
_cell_angle_alpha 60.00
_cell_angle_beta 60.00
_cell_angle_gamma 60.00
_space_group_name_H-M_alt 'P 1'
_space_group_IT_number 1
loop_
_space_group_symop_operation_xyz
'x,y,z'
loop_
_atom_site_label
_atom_site_type_symbol
_atom_site_fract_x
_atom_site_fract_y
_atom_site_fract_z
K1 K 0.000 0.000 0.000
Be1 Be 0.750 0.750 0.750
Cr1 Cr 0.500 0.500 0.500

Entry 2:
# Hg2IrRh (GGA-PBE, optimized geometry)
# * crystal system: cubic
# * D(E_F): 4.5 states/eV/f.u.
data_Hg2IrRh
_chemical_formula_sum 'Hg2 Ir1 Rh1'
_cell_length_a 4.622
_cell_length_b 4.622
_cell_length_c 4.622
_cell_angle_alpha 60.00
_cell_angle_beta 60.00
_cell_angle_gamma 60.00
_space_group_name_H-M_alt 'P 1'
_space_group_IT_number 1
loop_
_space_group_symop_operation_xyz
'x,y,z'
loop_
_atom_site_label
_atom_site_type_symbol
_atom_site_fract_x
_atom_site_fract_y
_atom_site_fract_z
Hg1 Hg 0.250 0.250 0.250
Hg2 Hg 0.750 0.750 0.750
Ir1 Ir 0.000 0.000 0.000
Rh1 Rh 0.500 0.500 0.500

Energy of formation from the pure elements for every record listed, in sequence, given in eV per atom: 1.44, 0.43.
Magnetization for every record listed, in sequence, given in μB per cell: 4.7, 0.0.